No. 1
# Rb2CrS, optimized geometry, DFT PBE
# - final energy (eV/atom) = -4.10
# - total magnetization (Bohr magnetons per cell) = 16.23
# - ρ (g/cm³) = 2.16
data_Rb2CrS
_chemical_formula_sum 'Rb8 Cr4 S4'
_cell_length_a 12.9996
_cell_length_b 12.9996
_cell_length_c 4.6319
_cell_angle_alpha 90.00
_cell_angle_beta 90.00
_cell_angle_gamma 90.00
_space_group_name_H-M_alt 'I -4 2 d'
_space_group_IT_number 122
_space_group_name_Hall 'I -4 2bw'
loop_
_atom_site_label
_atom_site_type_symbol
_atom_site_fract_x
_atom_site_fract_y
_atom_site_fract_z
Rb1 Rb 0.0599 0.7500 0.1250
Cr1 Cr 0.0000 0.0000 0.5000
S1 S 0.0000 0.0000 0.0000

---

No. 2
# Rb4CrS5, optimized geometry, DFT PBE
# - final energy (eV/atom) = -4.19
# - total magnetization (Bohr magnetons per cell) = 4.06
# - ρ (g/cm³) = 2.74
data_Rb4CrS5
_chemical_formula_sum 'Rb8 Cr2 S10'
_cell_length_a 14.2846
_cell_length_b 6.5871
_cell_length_c 10.0922
_cell_angle_alpha 90.00
_cell_angle_beta 134.95
_cell_angle_gamma 90.00
_space_group_name_H-M_alt 'C 1 2 1'
_space_group_IT_number 5
_space_group_name_Hall 'C 2y'
loop_
_atom_site_label
_atom_site_type_symbol
_atom_site_fract_x
_atom_site_fract_y
_atom_site_fract_z
Rb1 Rb 0.1052 0.0000 0.3126
Rb2 Rb 0.2077 0.5000 0.1029
Cr1 Cr 0.0000 0.4059 0.5000
S1 S 0.0000 0.0864 0.5000
S2 S 0.0625 0.5062 0.3553
S3 S 0.2067 0.5060 0.7693

---

No. 3
# RbCr3S5, optimized geometry, DFT PBE
# - final energy (eV/atom) = -6.44
# - total magnetization (Bohr magnetons per cell) = 36.00
# - ρ (g/cm³) = 3.74
data_RbCr3S5
_chemical_formula_sum 'Rb4 Cr12 S20'
_cell_length_a 19.5998
_cell_length_b 3.5488
_cell_length_c 12.2532
_cell_angle_alpha 90.00
_cell_angle_beta 123.10
_cell_angle_gamma 90.00
_space_group_name_H-M_alt 'C 1 2/m 1'
_space_group_IT_number 12
_space_group_name_Hall '-C 2y'
loop_
_atom_site_label
_atom_site_type_symbol
_atom_site_fract_x
_atom_site_fract_y
_atom_site_fract_z
Rb1 Rb 0.2460 0.0000 0.3307
Cr1 Cr 0.0000 0.0000 0.0000
Cr2 Cr 0.0000 0.0000 0.5000
Cr3 Cr 0.0184 0.5000 0.2720
Cr4 Cr 0.1639 0.5000 0.8892
S1 S 0.0726 0.5000 0.6520
S2 S 0.0742 0.0000 0.8916
S3 S 0.0796 0.5000 0.1506
S4 S 0.0916 0.0000 0.4195
S5 S 0.2420 0.0000 0.8841

---

No. 4
# Rb3Cr2S4, optimized geometry, DFT PBE
# - final energy (eV/atom) = -5.17
# - total magnetization (Bohr magnetons per cell) = 28.00
# - ρ (g/cm³) = 3.09
data_Rb3Cr2S4
_chemical_formula_sum 'Rb12 Cr8 S16'
_cell_length_a 14.2060
_cell_length_b 10.6269
_cell_length_c 6.9935
_cell_angle_alpha 90.00
_cell_angle_beta 95.74
_cell_angle_gamma 90.00
_space_group_name_H-M_alt 'C 1 2/c 1'
_space_group_IT_number 15
_space_group_name_Hall '-C 2yc'
loop_
_atom_site_label
_atom_site_type_symbol
_atom_site_fract_x
_atom_site_fract_y
_atom_site_fract_z
Rb1 Rb 0.0000 0.0955 0.2500
Rb2 Rb 0.1227 0.3613 0.5469
Cr1 Cr 0.2114 0.1215 0.9359
S1 S 0.1322 0.3038 0.0219
S2 S 0.1797 0.0544 0.6191

---

No. 5
# RbCr6S8, optimized geometry, DFT PBE
# - final energy (eV/atom) = -6.78
# - total magnetization (Bohr magnetons per cell) = 57.18
# - ρ (g/cm³) = 3.54
data_RbCr6S8
_chemical_formula_sum 'Rb3 Cr18 S24'
_cell_length_a 9.5558
_cell_length_b 9.5558
_cell_length_c 11.6406
_cell_angle_alpha 90.00
_cell_angle_beta 90.00
_cell_angle_gamma 120.00
_space_group_name_H-M_alt 'R -3'
_space_group_IT_number 148
_space_group_name_Hall '-R 3'
loop_
_atom_site_label
_atom_site_type_symbol
_atom_site_fract_x
_atom_site_fract_y
_atom_site_fract_z
Rb1 Rb 0.0000 0.0000 0.0000
Cr1 Cr 0.0075 0.1900 0.3900
S1 S 0.0000 0.0000 0.2641
S2 S 0.0146 0.2924 0.5827

---

No. 6
# Rb2CrS2, optimized geometry, DFT PBE
# - final energy (eV/atom) = -3.63
# - ΔE to the lowest computed polymorph (meV per atom) = 1160
# - total magnetization (Bohr magnetons per cell) = 8.00
# - ρ (g/cm³) = 3.08
data_Rb2CrS2
_chemical_formula_sum 'Rb4 Cr2 S4'
_cell_length_a 4.6926
_cell_length_b 4.6926
_cell_length_c 14.0689
_cell_angle_alpha 90.00
_cell_angle_beta 90.00
_cell_angle_gamma 90.00
_space_group_name_H-M_alt 'I 4/m m m'
_space_group_IT_number 139
_space_group_name_Hall '-I 4 2'
loop_
_atom_site_label
_atom_site_type_symbol
_atom_site_fract_x
_atom_site_fract_y
_atom_site_fract_z
Rb1 Rb 0.0000 0.5000 0.2500
Cr1 Cr 0.0000 0.0000 0.0000
S1 S 0.0000 0.0000 0.4034

---

No. 7
# Rb2CrS2, optimized geometry, DFT PBE
# - final energy (eV/atom) = -4.44
# - ΔE to the lowest computed polymorph (meV per atom) = 357
# - total magnetization (Bohr magnetons per cell) = 8.00
# - ρ (g/cm³) = 3.61
data_Rb2CrS2
_chemical_formula_sum 'Rb4 Cr2 S4'
_cell_length_a 7.0859
_cell_length_b 7.0859
_cell_length_c 5.2595
_cell_angle_alpha 90.00
_cell_angle_beta 90.00
_cell_angle_gamma 90.00
_space_group_name_H-M_alt 'P 4/m b m'
_space_group_IT_number 127
_space_group_name_Hall '-P 4 2ab'
loop_
_atom_site_label
_atom_site_type_symbol
_atom_site_fract_x
_atom_site_fract_y
_atom_site_fract_z
Rb1 Rb 0.1531 0.3469 0.0000
Cr1 Cr 0.0000 0.0000 0.5000
S1 S 0.1801 0.6801 0.5000

---

No. 8
# RbCr3S, optimized geometry, DFT PBE
# - final energy (eV/atom) = -5.93
# - ΔE to the lowest computed polymorph (meV per atom) = 0
# - total magnetization (Bohr magnetons per cell) = 13.19
# - ρ (g/cm³) = 3.69
data_RbCr3S
_chemical_formula_sum 'Rb1 Cr3 S1'
_cell_length_a 4.9758
_cell_length_b 4.9758
_cell_length_c 4.9758
_cell_angle_alpha 90.00
_cell_angle_beta 90.00
_cell_angle_gamma 90.00
_space_group_name_H-M_alt 'P m -3 m'
_space_group_IT_number 221
_space_group_name_Hall '-P 4 2 3'
loop_
_atom_site_label
_atom_site_type_symbol
_atom_site_fract_x
_atom_site_fract_y
_atom_site_fract_z
Rb1 Rb 0.0000 0.0000 0.0000
Cr1 Cr 0.0000 0.5000 0.5000
S1 S 0.5000 0.5000 0.5000

---

No. 9
# Rb3Sc3CrS8, optimized geometry, DFT PBE
# - final energy (eV/atom) = -5.76
# - total magnetization (Bohr magnetons per cell) = 4.30
# - ρ (g/cm³) = 3.09
data_Rb3Sc3CrS8
_chemical_formula_sum 'Rb6 Sc6 Cr2 S16'
_cell_length_a 12.9038
_cell_length_b 7.4423
_cell_length_c 8.9287
_cell_angle_alpha 90.00
_cell_angle_beta 118.84
_cell_angle_gamma 90.00
_space_group_name_H-M_alt 'C 1 2/m 1'
_space_group_IT_number 12
_space_group_name_Hall '-C 2y'
loop_
_atom_site_label
_atom_site_type_symbol
_atom_site_fract_x
_atom_site_fract_y
_atom_site_fract_z
Rb1 Rb 0.0000 0.0000 0.0000
Rb2 Rb 0.2500 0.2500 0.0000
Sc1 Sc 0.0000 0.5000 0.5000
Sc2 Sc 0.2500 0.2500 0.5000
Cr1 Cr 0.0000 0.0000 0.5000
S1 S 0.0206 0.2368 0.3251
S2 S 0.2163 0.0000 0.6750
S3 S 0.2280 0.5000 0.6840

---

No. 10
# RbCrSi2S8, optimized geometry, DFT PBE
# - final energy (eV/atom) = -4.93
# - total magnetization (Bohr magnetons per cell) = 0.80
# - ρ (g/cm³) = 2.64
data_RbCrSi2S8
_chemical_formula_sum 'Rb1 Cr1 Si2 S8'
_cell_length_a 6.0055
_cell_length_b 6.0055
_cell_length_c 9.0629
_cell_angle_alpha 90.00
_cell_angle_beta 90.00
_cell_angle_gamma 120.00
_space_group_name_H-M_alt 'P -3'
_space_group_IT_number 147
_space_group_name_Hall '-P 3'
loop_
_atom_site_label
_atom_site_type_symbol
_atom_site_fract_x
_atom_site_fract_y
_atom_site_fract_z
Rb1 Rb 0.0000 0.0000 0.0000
Cr1 Cr 0.0000 0.0000 0.5000
Si1 Si 0.3333 0.6667 0.7044
S1 S 0.0130 0.6747 0.3637
S2 S 0.3333 0.6667 0.9349

---

No. 11
# Rb2SmCrS4, optimized geometry, DFT PBE
# - final energy (eV/atom) = -5.26
# - total magnetization (Bohr magnetons per cell) = 6.00
# - ρ (g/cm³) = 3.30
data_Rb2SmCrS4
_chemical_formula_sum 'Rb4 Sm2 Cr2 S8'
_cell_length_a 7.4106
_cell_length_b 7.4106
_cell_length_c 9.1973
_cell_angle_alpha 90.00
_cell_angle_beta 90.00
_cell_angle_gamma 90.00
_space_group_name_H-M_alt 'I -4'
_space_group_IT_number 82
_space_group_name_Hall 'I -4'
loop_
_atom_site_label
_atom_site_type_symbol
_atom_site_fract_x
_atom_site_fract_y
_atom_site_fract_z
Rb1 Rb 0.0000 0.0000 0.0000
Rb2 Rb 0.0000 0.5000 0.2500
Sm1 Sm 0.0000 0.5000 0.7500
Cr1 Cr 0.0000 0.0000 0.5000
S1 S 0.1582 0.2311 0.6056

---

No. 12
# Rb2CrSnS4, optimized geometry, DFT PBE
# - final energy (eV/atom) = -4.71
# - total magnetization (Bohr magnetons per cell) = 8.25
# - ρ (g/cm³) = 4.01
data_Rb2CrSnS4
_chemical_formula_sum 'Rb8 Cr4 Sn4 S16'
_cell_length_a 7.9310
_cell_length_b 8.4951
_cell_length_c 11.5499
_cell_angle_alpha 90.00
_cell_angle_beta 90.00
_cell_angle_gamma 90.00
_space_group_name_H-M_alt 'I m m a'
_space_group_IT_number 74
_space_group_name_Hall '-I 2b 2'
loop_
_atom_site_label
_atom_site_type_symbol
_atom_site_fract_x
_atom_site_fract_y
_atom_site_fract_z
Rb1 Rb 0.0000 0.0000 0.0000
Rb2 Rb 0.2500 0.2500 0.2500
Cr1 Cr 0.2500 0.2500 0.7500
Sn1 Sn 0.0000 0.0000 0.5000
S1 S 0.0000 0.0629 0.7380
S2 S 0.2260 0.2500 0.5379

---

No. 13
# Rb2Tb2CrS6, optimized geometry, DFT PBE
# - final energy (eV/atom) = -5.55
# - total magnetization (Bohr magnetons per cell) = 4.06
# - ρ (g/cm³) = 4.02
data_Rb2Tb2CrS6
_chemical_formula_sum 'Rb4 Tb4 Cr2 S12'
_cell_length_a 6.7315
_cell_length_b 11.4355
_cell_length_c 8.2156
_cell_angle_alpha 90.00
_cell_angle_beta 106.55
_cell_angle_gamma 90.00
_space_group_name_H-M_alt 'C 1 2/m 1'
_space_group_IT_number 12
_space_group_name_Hall '-C 2y'
loop_
_atom_site_label
_atom_site_type_symbol
_atom_site_fract_x
_atom_site_fract_y
_atom_site_fract_z
Rb1 Rb 0.0000 0.1729 0.0000
Tb1 Tb 0.0000 0.3327 0.5000
Cr1 Cr 0.0000 0.0000 0.5000
S1 S 0.2154 0.1498 0.6826
S2 S 0.2340 0.0000 0.3203

---

No. 14
# Rb3Tb3CrS8, optimized geometry, DFT PBE
# - final energy (eV/atom) = -5.48
# - total magnetization (Bohr magnetons per cell) = 6.01
# - ρ (g/cm³) = 4.10
data_Rb3Tb3CrS8
_chemical_formula_sum 'Rb9 Tb9 Cr3 S24'
_cell_length_a 7.8680
_cell_length_b 7.8680
_cell_length_c 23.5914
_cell_angle_alpha 90.00
_cell_angle_beta 90.00
_cell_angle_gamma 120.00
_space_group_name_H-M_alt 'R -3 m'
_space_group_IT_number 166
_space_group_name_Hall '-R 3 2"'
loop_
_atom_site_label
_atom_site_type_symbol
_atom_site_fract_x
_atom_site_fract_y
_atom_site_fract_z
Rb1 Rb 0.0000 0.5000 0.0000
Tb1 Tb 0.0000 0.5000 0.5000
Cr1 Cr 0.0000 0.0000 0.5000
S1 S 0.0000 0.0000 0.2315
S2 S 0.0327 0.5164 0.2258

---

No. 15
# Rb3Th3CrS8, optimized geometry, DFT PBE
# - final energy (eV/atom) = -6.04
# - total magnetization (Bohr magnetons per cell) = 13.57
# - ρ (g/cm³) = 4.58
data_Rb3Th3CrS8
_chemical_formula_sum 'Rb9 Th9 Cr3 S24'
_cell_length_a 8.2177
_cell_length_b 8.2177
_cell_length_c 23.4533
_cell_angle_alpha 90.00
_cell_angle_beta 90.00
_cell_angle_gamma 120.00
_space_group_name_H-M_alt 'R -3 m'
_space_group_IT_number 166
_space_group_name_Hall '-R 3 2"'
loop_
_atom_site_label
_atom_site_type_symbol
_atom_site_fract_x
_atom_site_fract_y
_atom_site_fract_z
Rb1 Rb 0.0000 0.5000 0.0000
Th1 Th 0.0000 0.5000 0.5000
Cr1 Cr 0.0000 0.0000 0.5000
S1 S 0.0000 0.0000 0.2341
S2 S 0.0054 0.5027 0.2278

---

No. 16
# Rb2TiCrS4, optimized geometry, DFT PBE
# - final energy (eV/atom) = -5.64
# - total magnetization (Bohr magnetons per cell) = 32.17
# - ρ (g/cm³) = 2.77
data_Rb2TiCrS4
_chemical_formula_sum 'Rb16 Ti8 Cr8 S32'
_cell_length_a 5.8695
_cell_length_b 13.9525
_cell_length_c 23.3501
_cell_angle_alpha 90.00
_cell_angle_beta 90.00
_cell_angle_gamma 90.00
_space_group_name_H-M_alt 'F d d d'
_space_group_IT_number 70
loop_
_space_group_symop_operation_xyz
'x,y,z'
'-x,-y,-z'
'-x+1/4,-y+1/4,z'
'x+1/4,y+1/4,-z'
'x,-y+1/4,-z+1/4'
'-x,y+1/4,z+1/4'
'-x+1/4,y,-z+1/4'
'x+1/4,-y,z+1/4'
'x,y+1/2,z+1/2'
'-x,-y+1/2,-z+1/2'
'-x+1/4,-y+3/4,z+1/2'
'x+1/4,y+3/4,-z+1/2'
'x,-y+3/4,-z+3/4'
'-x,y+3/4,z+3/4'
'-x+1/4,y+1/2,-z+3/4'
'x+1/4,-y+1/2,z+3/4'
'x+1/2,y,z+1/2'
'-x+1/2,-y,-z+1/2'
'-x+3/4,-y+1/4,z+1/2'
'x+3/4,y+1/4,-z+1/2'
'x+1/2,-y+1/4,-z+3/4'
'-x+1/2,y+1/4,z+3/4'
'-x+3/4,y,-z+3/4'
'x+3/4,-y,z+3/4'
'x+1/2,y+1/2,z'
'-x+1/2,-y+1/2,-z'
'-x+3/4,-y+3/4,z'
'x+3/4,y+3/4,-z'
'x+1/2,-y+3/4,-z+1/4'
'-x+1/2,y+3/4,z+1/4'
'-x+3/4,y+1/2,-z+1/4'
'x+3/4,-y+1/2,z+1/4'
loop_
_atom_site_label
_atom_site_type_symbol
_atom_site_fract_x
_atom_site_fract_y
_atom_site_fract_z
Rb1 Rb 0.1250 0.1250 0.3021
Ti1 Ti 0.1250 0.1250 0.6250
Cr1 Cr 0.1250 0.1250 0.1250
S1 S 0.1226 0.2782 0.8252

---

No. 17
# Rb3Tm2CrS6, optimized geometry, DFT PBE
# - final energy (eV/atom) = -5.34
# - total magnetization (Bohr magnetons per cell) = 5.99
# - ρ (g/cm³) = 4.59
data_Rb3Tm2CrS6
_chemical_formula_sum 'Rb6 Tm4 Cr2 S12'
_cell_length_a 6.7753
_cell_length_b 11.7369
_cell_length_c 7.9539
_cell_angle_alpha 90.00
_cell_angle_beta 106.57
_cell_angle_gamma 90.00
_space_group_name_H-M_alt 'C 1 2/m 1'
_space_group_IT_number 12
_space_group_name_Hall '-C 2y'
loop_
_atom_site_label
_atom_site_type_symbol
_atom_site_fract_x
_atom_site_fract_y
_atom_site_fract_z
Rb1 Rb 0.0000 0.0000 0.0000
Rb2 Rb 0.0000 0.3294 0.0000
Tm1 Tm 0.0000 0.1663 0.5000
Cr1 Cr 0.0000 0.5000 0.5000
S1 S 0.2163 0.3446 0.6825
S2 S 0.2492 0.5000 0.3159

---

No. 18
# Rb3Tm3CrS8, optimized geometry, DFT PBE
# - final energy (eV/atom) = -5.46
# - total magnetization (Bohr magnetons per cell) = 6.15
# - ρ (g/cm³) = 4.37
data_Rb3Tm3CrS8
_chemical_formula_sum 'Rb9 Tm9 Cr3 S24'
_cell_length_a 7.7349
_cell_length_b 7.7349
_cell_length_c 23.5793
_cell_angle_alpha 90.00
_cell_angle_beta 90.00
_cell_angle_gamma 120.00
_space_group_name_H-M_alt 'R -3 m'
_space_group_IT_number 166
_space_group_name_Hall '-R 3 2"'
loop_
_atom_site_label
_atom_site_type_symbol
_atom_site_fract_x
_atom_site_fract_y
_atom_site_fract_z
Rb1 Rb 0.0000 0.5000 0.0000
Tm1 Tm 0.0000 0.5000 0.5000
Cr1 Cr 0.0000 0.0000 0.5000
S1 S 0.0000 0.0000 0.2304
S2 S 0.0277 0.5139 0.2256

---

No. 19
# Rb2TmCrS4, optimized geometry, DFT PBE
# - final energy (eV/atom) = -5.24
# - total magnetization (Bohr magnetons per cell) = 6.00
# - ρ (g/cm³) = 3.53
data_Rb2TmCrS4
_chemical_formula_sum 'Rb4 Tm2 Cr2 S8'
_cell_length_a 7.3500
_cell_length_b 7.3500
_cell_length_c 9.0701
_cell_angle_alpha 90.00
_cell_angle_beta 90.00
_cell_angle_gamma 90.00
_space_group_name_H-M_alt 'I -4'
_space_group_IT_number 82
_space_group_name_Hall 'I -4'
loop_
_atom_site_label
_atom_site_type_symbol
_atom_site_fract_x
_atom_site_fract_y
_atom_site_fract_z
Rb1 Rb 0.0000 0.0000 0.0000
Rb2 Rb 0.0000 0.5000 0.2500
Tm1 Tm 0.0000 0.0000 0.5000
Cr1 Cr 0.0000 0.5000 0.7500
S1 S 0.1507 0.2623 0.6414

---

No. 20
# RbU2CrS8, optimized geometry, DFT PBE
# - final energy (eV/atom) = -6.37
# - total magnetization (Bohr magnetons per cell) = 3.00
# - ρ (g/cm³) = 4.80
data_RbU2CrS8
_chemical_formula_sum 'Rb1 U2 Cr1 S8'
_cell_length_a 5.8223
_cell_length_b 6.2475
_cell_length_c 8.2887
_cell_angle_alpha 89.97
_cell_angle_beta 89.96
_cell_angle_gamma 86.72
_space_group_name_H-M_alt 'P -1'
_space_group_IT_number 2
_space_group_name_Hall '-P 1'
loop_
_atom_site_label
_atom_site_type_symbol
_atom_site_fract_x
_atom_site_fract_y
_atom_site_fract_z
Rb1 Rb 0.0000 0.0000 0.0000
U1 U 0.5000 0.5001 0.2562
Cr1 Cr 0.0000 0.0000 0.5000
S1 S 0.2474 0.8266 0.6891
S2 S 0.2478 0.8271 0.3108
S3 S 0.2583 0.3402 0.5001
S4 S 0.2696 0.4050 0.0002